PbBrF PBE-GGA optimized geometry; total moment = 0.0 Bohr magnetons per cell; symmetry = P-1, No. 2; volume = 27.4 Å³/atom; energy relative to the elements, uncorrected = -1635 meV per atom
1.0
-4.310 0.527 0.734
0.002 -9.236 6.342
2.833 5.459 -0.331
Pb Br F
2 2 2
Cartesian
2.183 -3.082 4.772
-2.314 0.383 2.444
-2.554 -5.372 4.999
-0.409 -2.786 2.550
-0.259 0.591 1.145
0.129 -3.287 6.073